# 1
The following is a DFT calculation (PBE-GGA) of a geometry-optimized AlAg2Sb structure.

a b c (Å): 8.829 8.829 8.829
angles (deg): 21.67 21.67 21.67
Atoms (fractional coordinates):
Al1 0.000 0.000 0.000
Ag1 0.258 0.258 0.258
Ag2 0.742 0.742 0.742
Sb1 0.500 0.500 0.500

The density of states at the Fermi level is 2.54 states/eV per cell. The space group is No. 166. The raw formation energy is 0.11 eV per atom. Its mass density is 7.4 g/cm3.


# 2
The following is a DFT calculation (PBE-GGA) of a geometry-optimized AlAgSb structure.

a b c (Å): 6.948 6.883 3.130
angles (deg): 78.10 75.75 26.16
Atoms (fractional coordinates):
Al1 0.000 0.000 0.000
Ag1 0.633 0.633 0.367
Sb1 0.319 0.319 0.681

The density of states at the Fermi level is 0.94 states/eV per cell. The space group is No. 42. The raw formation energy is 0.16 eV per atom. Its mass density is 6.7 g/cm3.


# 3
The following is a DFT calculation (PBE-GGA) of a geometry-optimized AlAgSb2 structure.

a b c (Å): 4.036 4.107 5.759
angles (deg): 90.00 91.27 90.00
Atoms (fractional coordinates):
Al1 0.000 0.000 0.000
Ag1 0.500 0.500 0.500
Sb1 0.000 0.000 0.500
Sb2 0.500 0.500 0.000

The density of states at the Fermi level is 2.88 states/eV per cell. The space group is No. 10. The raw formation energy is 0.09 eV per atom. Its mass density is 6.6 g/cm3.


# 4
The following is a DFT calculation (PBE-GGA) of a geometry-optimized AlAgSb2 structure.

a b c (Å): 6.304 6.304 6.304
angles (deg): 151.21 129.37 59.29
Atoms (fractional coordinates):
Al1 0.000 0.000 0.000
Ag1 0.204 0.704 0.500
Sb1 0.453 0.453 0.000
Sb2 0.767 0.267 0.500

The density of states at the Fermi level is 1.63 states/eV per cell. The space group is No. 44. The raw formation energy is 0.18 eV per atom. Its mass density is 6.8 g/cm3.


# 5
The following is a DFT calculation (PBE-GGA) of a geometry-optimized Al2AgSb2 structure.

a b c (Å): 7.796 7.796 3.838
angles (deg): 90.00 90.00 90.00
Atoms (fractional coordinates):
Al1 0.129 0.371 0.000
Al2 0.371 0.871 0.000
Al3 0.629 0.129 0.000
Al4 0.871 0.629 0.000
Ag1 0.000 0.000 0.500
Ag2 0.500 0.500 0.500
Sb1 0.171 0.671 0.500
Sb2 0.329 0.171 0.500
Sb3 0.671 0.829 0.500
Sb4 0.829 0.329 0.500

The density of states at the Fermi level is 4.07 states/eV per cell. The space group is No. 127. The raw formation energy is 0.21 eV per atom. Its mass density is 5.8 g/cm3.


# 6
The following is a DFT calculation (PBE-GGA) of a geometry-optimized Al2AgSb2 structure.

a b c (Å): 7.830 7.830 7.830
angles (deg): 149.58 149.58 43.56
Atoms (fractional coordinates):
Al1 0.250 0.750 0.500
Al2 0.750 0.250 0.500
Ag1 0.000 0.000 0.000
Sb1 0.383 0.383 0.000
Sb2 0.617 0.617 0.000

The density of states at the Fermi level is 2.22 states/eV per cell. The space group is No. 139. The raw formation energy is 0.21 eV per atom. Its mass density is 5.5 g/cm3.